Below is an optimized crystal structure of TmTiC, with properties calculated at the GGA-PBE level.

```
TmTiC
1.0
-1.6442 -0.9274 -5.1254
1.8250 -2.7388 -0.0899
-3.1250 -0.1371 1.0273
C Tm Ti
1 1 1
Cartesian
-1.9638 -1.2801 -0.8687
-0.7773 -2.4088 -2.6860
-0.2031 -0.1146 -0.6332
```

Results
VASP energy = -22.61 eV per cell
DOS at the Fermi energy = 1.114 states/eV/atom
energy of formation = -0.3411 eV per atom
E above lowest polymorph = 0.00 eV per formula unit